Compound: CoS
Source: the Alexandria database
Functional: PBE
Structure: relaxed

```
data_CoS
_chemical_formula_sum 'Co2 S2'
_space_group_name_H-M_alt 'P 1'
_space_group_IT_number 1
_space_group_name_Hall 'P 1'
_cell_length_a 3.6319
_cell_length_b 3.6322
_cell_length_c 5.3801
_cell_angle_alpha 90.00
_cell_angle_beta 90.71
_cell_angle_gamma 90.00
loop_
_atom_site_label
_atom_site_fract_x
_atom_site_fract_y
_atom_site_fract_z
S1 0.7459 0.7500 0.7757
S2 0.2541 0.2500 0.2243
Co1 0.2500 0.7500 0.0000
Co2 0.7500 0.2500 0.0000
```

Calculated values
SG: P2_1/m
Size of the total moment, μB/cell: 1.00
Formation energy from raw total energies, eV per atom: -0.42